Entry 1:
Density functional theory data (PBE) for a relaxed SrLaDy4S8 crystal.

Unit cell a=8.1717 b=8.1717 c=8.3008 alpha=60.51 beta=60.51 gamma=60.00
Closest atoms and distances in Å follow each position.
Atoms (fractional coordinates):
Sr (0.3735, 0.3735, 0.8795)  4 S 2.79-2.82
Dy (0.0017, 0.4950, 0.5017)  6 S 2.70-2.84
Dy (0.6256, 0.6256, 0.1233)  4 S 2.64-2.71
Dy (0.0017, 0.0017, 0.5017)  6 S 2.70-2.84
Dy (0.4950, 0.0017, 0.5017)  6 S 2.70-2.84
S (0.2357, 0.2357, 0.2930)  3 Dy 2.73, 1 Sr 2.82
S (0.7498, 0.2316, 0.2687)  3 Dy 2.64-2.83, 1 La 2.94
S (0.7903, 0.2432, 0.7234)  2 Dy 2.70, 1 Sr 2.79, 1 La 2.83
S (0.2432, 0.7903, 0.7234)  2 Dy 2.70, 1 Sr 2.79, 1 La 2.83
S (0.2432, 0.2432, 0.7234)  2 Dy 2.70, 1 Sr 2.79, 1 La 2.83
S (0.2316, 0.7498, 0.2687)  3 Dy 2.64-2.83, 1 La 2.94
S (0.7576, 0.7576, 0.7271)  4 Dy 2.71-2.84
S (0.7498, 0.7498, 0.2687)  3 Dy 2.64-2.83, 1 La 2.94
La (0.0014, 0.0014, 0.9959)  6 S 2.83-2.94

**Symmetry**: No. 160
**Total magnetization**: 0.00 μB per formula unit
**E_form (uncorrected)**: -2.002 eV per atom
**Fermi-level density of states**: 0.278 states/eV per atom



Entry 2:
Density functional theory data (PBE) for a relaxed ZrNpS2 crystal.

Unit cell a=3.8191 b=3.8191 c=6.4715 alpha=72.86 beta=72.86 gamma=59.96
Closest atoms and distances in Å follow each position.
Atoms (fractional coordinates):
S (0.7529, 0.7529, 0.7416)  3 Zr 2.65, 3 Np 2.71
S (0.2471, 0.2471, 0.2584)  3 Zr 2.65, 3 Np 2.71
Zr (0.5000, 0.5000, 0.5000)  6 S 2.65
Np (0.0000, 0.0000, 0.0000)  6 S 2.71

**Symmetry**: No. 166
**Total magnetization**: 3.95 μB per formula unit
**E_form (uncorrected)**: -1.443 eV per atom
**Fermi-level density of states**: 1.961 states/eV per atom



The lowest E_form (uncorrected) belongs to which entry? SrLaDy4S8